AgBO2 after structural relaxation, computed with PBE.

Computed properties:
- E_tot (eV/atom) = -6.347
- symmetry = No. 2
- formation energy (no corrections) (eV/atom) = -1.49

Cell: 4.093 6.230 5.578 Å, 52.90 68.34 70.84°
Positions (direct):
Ag (0.393, 0.742, 0.537)
Ag (0.767, 0.505, 0.023)
B (0.329, 0.124, 0.780)
B (0.831, 0.124, 0.780)
O (0.192, 0.075, 0.606)
O (0.969, 0.172, 0.953)
O (0.565, 0.338, 0.597)
O (0.595, 0.909, 0.962)